# 1
Density functional theory data (PBE) for crystalline Tb2SnHRh6 at its relaxed geometry.

The calculation puts the final energy at -65.37 eV per cell. The total magnetization is 0.00 μB/atom.

a = 5.6233 Å, b = 5.6430 Å, c = 6.9829 Å
α = 89.99°, β = 66.26°, γ = 60.13°
With the nearest neighbours (Å) after each atom.
Fractional coordinates of all 10 atoms:
1 Tb 0.0425 0.2326 0.1826  6 Rh 2.95-2.97
2 Tb 0.9575 0.7674 0.8174  6 Rh 2.95-2.97
3 Sn 0.5000 0.5000 0.0000  6 Rh 2.60-2.61
4 H 0.5000 0.0000 0.5000  6 Rh 1.94-1.96
5 Rh 0.0528 0.2187 0.6749  1 H 1.94
6 Rh 0.4367 0.2894 0.3363  1 H 1.96
7 Rh 0.4449 0.7808 0.3261  1 H 1.95
8 Rh 0.5551 0.2192 0.6739  1 H 1.95
9 Rh 0.5633 0.7106 0.6637  1 H 1.96
10 Rh 0.9472 0.7813 0.3251  1 H 1.94

# 2
Density functional theory data (PBE) for crystalline Th2SnHRh6 at its relaxed geometry.

The calculation puts the final energy at -72.49 eV per cell. The total magnetization is 0.00 μB/atom.

a = 5.7370 Å, b = 5.7376 Å, c = 7.0033 Å
α = 65.85°, β = 65.94°, γ = 60.08°
With the nearest neighbours (Å) after each atom.
Fractional coordinates of all 10 atoms:
1 Th 0.2395 0.2393 0.2835  6 Rh 2.94-2.95
2 Th 0.7605 0.7607 0.7165  6 Rh 2.94-2.95
3 Sn 0.5000 0.5000 0.5000  6 Rh 2.60
4 H 0.0000 0.0000 0.0000  6 Rh 1.97-1.98
5 Rh 0.2234 0.2248 0.8203  1 H 1.97
6 Rh 0.2232 0.7285 0.8224  1 H 1.98
7 Rh 0.2723 0.7763 0.1769  1 H 1.97
8 Rh 0.7277 0.2237 0.8231  1 H 1.97
9 Rh 0.7768 0.2715 0.1776  1 H 1.98
10 Rh 0.7766 0.7752 0.1797  1 H 1.97

# 3
Density functional theory data (PBE) for crystalline Th4SnH3Rh12 at its relaxed geometry.

The calculation puts the final energy at -144.59 eV per cell. The total magnetization is 0.00 μB/atom.

a = 7.4610 Å, b = 7.4610 Å, c = 7.4610 Å
α = 109.47°, β = 109.47°, γ = 109.47°
With the nearest neighbours (Å) after each atom.
Fractional coordinates of all 20 atoms:
1 Th 0.0000 0.0000 0.5000  12 Rh 3.05-3.07
2 Th 0.0000 0.5000 0.0000  12 Rh 3.05-3.07
3 Th 0.5000 0.0000 0.0000  12 Rh 3.05-3.07
4 Th 0.5000 0.5000 0.5000  12 Rh 3.05-3.07
5 Sn 0.0000 0.0000 0.0000  6 Rh 2.53
6 H 0.0000 0.5000 0.5000  2 Rh 1.78
7 H 0.5000 0.0000 0.5000  2 Rh 1.78
8 H 0.5000 0.5000 0.0000  2 Rh 1.78
9 Rh 0.0000 0.2932 0.2932  1 H 1.78
10 Rh 0.0000 0.7068 0.7068  1 H 1.78
11 Rh 0.2500 0.5000 0.7500  2 H 2.15
12 Rh 0.2500 0.7500 0.5000  2 H 2.15
13 Rh 0.2932 0.0000 0.2932  1 H 1.78
14 Rh 0.2932 0.2932 0.0000  1 H 1.78
15 Rh 0.5000 0.2500 0.7500  2 H 2.15
16 Rh 0.5000 0.7500 0.2500  2 H 2.15
17 Rh 0.7068 0.0000 0.7068  1 H 1.78
18 Rh 0.7068 0.7068 0.0000  1 H 1.78
19 Rh 0.7500 0.2500 0.5000  2 H 2.15
20 Rh 0.7500 0.5000 0.2500  2 H 2.15

# 4
Density functional theory data (PBE) for crystalline Ti2SnHRh at its relaxed geometry.

The calculation puts the final energy at -32.98 eV per cell. The total magnetization is 0.00 μB/atom.

a = 4.1055 Å, b = 4.1055 Å, c = 4.0814 Å
α = 90.00°, β = 90.00°, γ = 90.00°
With the nearest neighbours (Å) after each atom.
Fractional coordinates of all 5 atoms:
1 Ti 0.0000 0.5000 0.0000  2 H 2.05
2 Ti 0.5000 0.0000 0.0000  2 H 2.05
3 Sn 0.0000 0.0000 0.5000  8 Ti 2.89, 4 Rh 2.90
4 H 0.5000 0.5000 0.0000  2 Rh 2.04, 4 Ti 2.05
5 Rh 0.5000 0.5000 0.5000  2 H 2.04

# 5
Density functional theory data (PBE) for crystalline TiSnHRh2 at its relaxed geometry.

The calculation puts the final energy at -32.22 eV per cell. The total magnetization is 0.00 μB/atom.

a = 4.0734 Å, b = 4.0734 Å, c = 3.9977 Å
α = 90.00°, β = 90.00°, γ = 90.00°
With the nearest neighbours (Å) after each atom.
Fractional coordinates of all 5 atoms:
1 Ti 0.0000 0.0000 0.0000  2 H 2.00
2 Sn 0.5000 0.5000 0.0000  8 Rh 2.85, 4 Ti 2.88
3 H 0.0000 0.0000 0.5000  2 Ti 2.00, 4 Rh 2.04
4 Rh 0.0000 0.5000 0.5000  2 H 2.04
5 Rh 0.5000 0.0000 0.5000  2 H 2.04

# 6
Density functional theory data (PBE) for crystalline SnHRhW2 at its relaxed geometry.

The calculation puts the final energy at -35.44 eV per cell. The total magnetization is 0.00 μB/atom.

a = 4.9914 Å, b = 4.9914 Å, c = 3.2168 Å
α = 90.00°, β = 90.00°, γ = 90.00°
With the nearest neighbours (Å) after each atom.
Fractional coordinates of all 5 atoms:
1 Sn 0.0000 0.0000 0.0000  8 W 2.97, 2 Sn 3.22
2 H 0.5000 0.5000 0.0000  2 Rh 1.61
3 Rh 0.5000 0.5000 0.5000  2 H 1.61
4 W 0.0000 0.5000 0.5000  2 Rh 2.50
5 W 0.5000 0.0000 0.5000  2 Rh 2.50

# 7
Density functional theory data (PBE) for crystalline Y2SnHRh6 at its relaxed geometry.

The calculation puts the final energy at -68.40 eV per cell. The total magnetization is 0.00 μB/atom.

a = 6.2460 Å, b = 6.2460 Å, c = 6.0331 Å
α = 118.78°, β = 118.78°, γ = 89.95°
With the nearest neighbours (Å) after each atom.
Fractional coordinates of all 10 atoms:
1 Y 0.2424 0.7576 0.0000  12 Rh 3.04-3.25
2 Y 0.7576 0.2424 0.0000  12 Rh 3.04-3.25
3 Sn 0.0000 0.0000 0.5000  6 Rh 2.50-2.51
4 H 0.5000 0.5000 0.5000  6 Rh 1.91-1.93
5 Rh 0.2832 0.7168 0.5000  1 H 1.91
6 Rh 0.2913 0.2913 0.0638  1 H 1.93
7 Rh 0.2922 0.2922 0.5195  1 H 1.92
8 Rh 0.7078 0.7078 0.4805  1 H 1.92
9 Rh 0.7087 0.7087 0.9362  1 H 1.93
10 Rh 0.7168 0.2832 0.5000  1 H 1.91

# 8
Density functional theory data (PBE) for crystalline Y2SnHRh at its relaxed geometry.

The calculation puts the final energy at -30.98 eV per cell. The total magnetization is 0.00 μB/atom.

a = 4.9538 Å, b = 4.9538 Å, c = 3.8855 Å
α = 90.00°, β = 90.00°, γ = 90.00°
With the nearest neighbours (Å) after each atom.
Fractional coordinates of all 5 atoms:
1 Y 0.0000 0.5000 0.0000  2 H 2.48
2 Y 0.5000 0.0000 0.0000  2 H 2.48
3 Sn 0.0000 0.0000 0.5000  8 Y 3.15, 4 Rh 3.50
4 H 0.5000 0.5000 0.0000  2 Rh 1.94
5 Rh 0.5000 0.5000 0.5000  2 H 1.94